6
Lattice="3.725 0.000 0.000 -1.862 3.152 -0.683 0.000 -2.125 10.362" Properties=species:S:1:pos:R:3 comment="CaFeS PBE-GGA relaxed" spacegroup="No. 12" total_energy_ha_per_atom=-0.20136 raw_formation_energy_ev_per_atom=-0.62 crystal_system=monoclinic pbc="T T T"
S 0.000 -1.373 8.754
S 1.862 2.400 0.924
Fe 0.000 1.220 0.555
Fe 1.863 -0.193 9.123
Ca 1.862 0.672 3.106
Ca 0.000 0.354 6.573